[1]
# PrRe2O8 meta-GGA SCAN PBEsol geometry
# Density in g cm⁻³: 5.0
# E_form (uncorrected) in eV per atom: -2.0719
# Raw total energy in eV per cell: -258.2
data_PrRe2O8
_chemical_formula_sum 'Pr1 Re2 O8'
_space_group_name_H-M_alt 'P -3 m 1'
_space_group_IT_number 164
_space_group_name_Hall '-P 3 2"'
_cell_length_a 6.3229
_cell_length_b 6.3229
_cell_length_c 6.2125
_cell_angle_alpha 90.00
_cell_angle_beta 90.00
_cell_angle_gamma 120.00
loop_
_atom_site_label
_atom_site_type_symbol
_atom_site_fract_x
_atom_site_fract_y
_atom_site_fract_z
_atom_site_occupancy
Pr1 Pr 0.0000 0.0000 0.0000 1
Re1 Re 0.3333 0.6667 0.3017 1
O1 O 0.1814 0.3628 0.2037 1
O2 O 0.3333 0.6667 0.5804 1

***

[2]
# Pr4Re6O19 meta-GGA SCAN PBEsol geometry
# Density in g cm⁻³: 9.1
# E_form (uncorrected) in eV per atom: -2.3439
# Raw total energy in eV per cell: -1572.5
data_Pr4Re6O19
_chemical_formula_sum 'Pr8 Re12 O38'
_space_group_name_H-M_alt 'I 2 3'
_space_group_IT_number 197
_space_group_name_Hall 'I 2 2 3'
_cell_length_a 8.9771
_cell_length_b 8.9771
_cell_length_c 8.9771
_cell_angle_alpha 90.00
_cell_angle_beta 90.00
_cell_angle_gamma 90.00
loop_
_atom_site_label
_atom_site_type_symbol
_atom_site_fract_x
_atom_site_fract_y
_atom_site_fract_z
_atom_site_occupancy
Pr1 Pr 0.1572 0.1572 0.1572 1
Re1 Re 0.0000 0.1334 0.5000 1
O1 O 0.0000 0.0000 0.0000 1
O2 O 0.0000 0.0000 0.3197 1
O3 O 0.0212 0.2825 0.6612 1

***

[3]
# Pr3ReO8 meta-GGA SCAN PBEsol geometry
# Density in g cm⁻³: 7.6
# E_form (uncorrected) in eV per atom: -3.0218
# Raw total energy in eV per cell: -1148.7
data_Pr3ReO8
_chemical_formula_sum 'Pr12 Re4 O32'
_space_group_name_H-M_alt 'P 1 21/c 1'
_space_group_IT_number 14
_space_group_name_Hall '-P 2ybc'
_cell_length_a 7.4374
_cell_length_b 6.1822
_cell_length_c 14.8964
_cell_angle_alpha 90.00
_cell_angle_beta 110.43
_cell_angle_gamma 90.00
loop_
_atom_site_label
_atom_site_type_symbol
_atom_site_fract_x
_atom_site_fract_y
_atom_site_fract_z
_atom_site_occupancy
Pr1 Pr 0.0981 0.2391 0.2006 1
Pr2 Pr 0.1624 0.2013 0.4471 1
Pr3 Pr 0.3976 0.6856 0.3345 1
Re1 Re 0.3205 0.7457 0.0912 1
O1 O 0.0951 0.6989 0.9830 1
O2 O 0.1447 0.0300 0.8394 1
O3 O 0.1703 0.6560 0.1685 1
O4 O 0.1840 0.5298 0.8267 1
O5 O 0.2524 0.0413 0.0953 1
O6 O 0.3763 0.0470 0.5905 1
O7 O 0.4726 0.2038 0.7907 1
O8 O 0.4755 0.6986 0.5219 1

***

[4]
# PrRhO3 meta-GGA SCAN PBEsol geometry
# Density in g cm⁻³: 8.0
# E_form (uncorrected) in eV per atom: -2.4080
# Raw total energy in eV per cell: -431.3
data_PrRhO3
_chemical_formula_sum 'Pr4 Rh4 O12'
_space_group_name_H-M_alt 'P n m a'
_space_group_IT_number 62
_space_group_name_Hall '-P 2ac 2n'
_cell_length_a 5.8287
_cell_length_b 7.7714
_cell_length_c 5.3315
_cell_angle_alpha 90.00
_cell_angle_beta 90.00
_cell_angle_gamma 90.00
loop_
_atom_site_label
_atom_site_type_symbol
_atom_site_fract_x
_atom_site_fract_y
_atom_site_fract_z
_atom_site_occupancy
Pr1 Pr 0.0767 0.2500 0.0257 1
Rh1 Rh 0.0000 0.0000 0.5000 1
O1 O 0.0304 0.7500 0.3946 1
O2 O 0.1972 0.5507 0.8150 1

***

The lowest E_form (uncorrected) belongs to which entry? Pr3ReO8

***

Look up the raw total energy of the third one. -1148.7 eV per cell

***

Among the records above, which one has the lowest raw total energy? Pr4Re6O19

***

Which of these has the highest raw total energy? PrRe2O8